## MnMo2Ir (meta-GGA SCAN)

Data for a crystal of MnMo2Ir relaxed with PBEsol.

a b c (Å): 3.793 3.793 3.876
angles (deg): 90.00 90.00 90.00
Space group P4/mmm (No. 123)
One atom of each set of equivalent atoms:
Mn1 0.000 0.000 0.000
Mo1 0.000 0.500 0.500
Ir1 0.500 0.500 0.000

Summary:
The total DFT energy (no corrections) is -39.954 eV/atom. The excess energy over the best structure of this formula in the dataset comes out at 0 meV/atom. Its total moment is 2.12 μB/cell. As for the calculated formation energy: -173 meV per atom.